Compound: ReTeCl2
Source: Alexandria via LeMat-Bulk
Functional: PBE-GGA
Structure: optimized geometry

```
ReTeCl2
1.0
-3.0999 1.5323 -0.4213
-2.3528 -0.6075 2.4961
0.8099 7.0888 4.9921
Cl Re Te
2 1 1
direct
0.7775 0.7775 0.6777
0.9862 0.9862 0.0401
0.5068 0.5068 0.4920
0.2295 0.2295 0.2902
```

## Properties
D(E_F) = 2.70 states/eV per cell
total moment = 0.6 μB/f.u.
raw formation energy = 0.1591 eV/atom
E_tot = -18.65 eV per cell